Record 1
A plane-wave DFT calculation with PBE-GGA was carried out for a geometry-optimized HPt structure.

Its total magnetic moment is 0.00 μB per atom. The space group is P4/m (83). The calculation puts the raw total energy at -4.61 eV per atom.

CIF file:
```
data_HPt
_cell_length_a 8.3035
_cell_length_b 8.3035
_cell_length_c 2.7903
_cell_angle_alpha 90.00
_cell_angle_beta 90.00
_cell_angle_gamma 90.00
_symmetry_space_group_name_H-M 'P 1'
_symmetry_Int_Tables_number 1
loop_
_symmetry_equiv_pos_as_xyz
'x,y,z'
loop_
_atom_site_label
_atom_site_fract_x
_atom_site_fract_y
_atom_site_fract_z
H1 0.7124 0.6308 0.5000
H2 0.2876 0.3692 0.5000
H3 0.3692 0.7124 0.5000
H4 0.6308 0.2876 0.5000
H5 0.8301 0.1713 0.0000
H6 0.1699 0.8287 0.0000
H7 0.8287 0.8301 0.0000
H8 0.1713 0.1699 0.0000
Pt1 0.8377 0.3201 0.5000
Pt2 0.1623 0.6799 0.5000
Pt3 0.6799 0.8377 0.5000
Pt4 0.3201 0.1623 0.5000
Pt5 0.8748 0.6134 0.0000
Pt6 0.1252 0.3866 0.0000
Pt7 0.3866 0.8748 0.0000
Pt8 0.6134 0.1252 0.0000
```

---

Record 2
A plane-wave DFT calculation with PBE-GGA was carried out for a geometry-optimized HPt structure.

Its total magnetic moment is 0.00 μB per atom. The space group is Pm-3n (223). The calculation puts the raw total energy at -4.34 eV per atom.

CIF file:
```
data_HPt
_cell_length_a 5.2713
_cell_length_b 5.2713
_cell_length_c 5.2713
_cell_angle_alpha 90.00
_cell_angle_beta 90.00
_cell_angle_gamma 90.00
_symmetry_space_group_name_H-M 'P 1'
_symmetry_Int_Tables_number 1
loop_
_symmetry_equiv_pos_as_xyz
'x,y,z'
loop_
_atom_site_label
_atom_site_fract_x
_atom_site_fract_y
_atom_site_fract_z
H1 0.2500 0.0000 0.5000
H2 0.7500 0.0000 0.5000
H3 0.0000 0.5000 0.2500
H4 0.0000 0.5000 0.7500
H5 0.5000 0.2500 0.0000
H6 0.5000 0.7500 0.0000
Pt1 0.2500 0.5000 0.0000
Pt2 0.7500 0.5000 0.0000
Pt3 0.5000 0.0000 0.2500
Pt4 0.5000 0.0000 0.7500
Pt5 0.0000 0.2500 0.5000
Pt6 0.0000 0.7500 0.5000
```

---

Record 3
A plane-wave DFT calculation with PBE-GGA was carried out for a geometry-optimized HPt structure.

Its total magnetic moment is 0.00 μB per atom. The space group is F-43m (216). The calculation puts the raw total energy at -4.58 eV per atom.

CIF file:
```
data_HPt
_cell_length_a 4.2872
_cell_length_b 4.2872
_cell_length_c 4.2872
_cell_angle_alpha 90.00
_cell_angle_beta 90.00
_cell_angle_gamma 90.00
_symmetry_space_group_name_H-M 'P 1'
_symmetry_Int_Tables_number 1
loop_
_symmetry_equiv_pos_as_xyz
'x,y,z'
loop_
_atom_site_label
_atom_site_fract_x
_atom_site_fract_y
_atom_site_fract_z
H1 0.2500 0.2500 0.2500
H2 0.2500 0.7500 0.7500
H3 0.7500 0.2500 0.7500
H4 0.7500 0.7500 0.2500
Pt1 0.0000 0.0000 0.0000
Pt2 0.0000 0.5000 0.5000
Pt3 0.5000 0.0000 0.5000
Pt4 0.5000 0.5000 0.0000
```

---

Record 4
A plane-wave DFT calculation with PBE-GGA was carried out for a geometry-optimized PuH3Pt structure.

Its total magnetic moment is 1.22 μB per atom. The space group is Pm-3m (221). The calculation puts the raw total energy at -6.45 eV per atom.

CIF file:
```
data_PuH3Pt
_cell_length_a 3.7546
_cell_length_b 3.7546
_cell_length_c 3.7546
_cell_angle_alpha 90.00
_cell_angle_beta 90.00
_cell_angle_gamma 90.00
_symmetry_space_group_name_H-M 'P 1'
_symmetry_Int_Tables_number 1
loop_
_symmetry_equiv_pos_as_xyz
'x,y,z'
loop_
_atom_site_label
_atom_site_fract_x
_atom_site_fract_y
_atom_site_fract_z
H1 0.0000 0.5000 0.0000
H2 0.0000 0.0000 0.5000
H3 0.5000 0.0000 0.0000
Pt1 0.0000 0.0000 0.0000
Pu1 0.5000 0.5000 0.5000
```

---

Record 5
A plane-wave DFT calculation with PBE-GGA was carried out for a geometry-optimized PuHPt structure.

Its total magnetic moment is 1.66 μB per atom. The space group is P3m1 (156). As for the relative energy among the computed polymorphs: 0.148 eV/atom. The calculation puts the raw total energy at -8.28 eV per atom.

CIF file:
```
data_PuHPt
_cell_length_a 3.8540
_cell_length_b 3.8453
_cell_length_c 3.8453
_cell_angle_alpha 120.00
_cell_angle_beta 90.00
_cell_angle_gamma 90.00
_symmetry_space_group_name_H-M 'P 1'
_symmetry_Int_Tables_number 1
loop_
_symmetry_equiv_pos_as_xyz
'x,y,z'
loop_
_atom_site_label
_atom_site_fract_x
_atom_site_fract_y
_atom_site_fract_z
H1 0.5041 0.6667 0.3333
Pt1 0.9984 0.0000 0.0000
Pu1 0.4975 0.3333 0.6667
```

---

Record 6
A plane-wave DFT calculation with PBE-GGA was carried out for a geometry-optimized Pu5HPt3 structure.

Its total magnetic moment is 3.19 μB per atom. The space group is I4/mcm (140). The calculation puts the raw total energy at -10.94 eV per atom.

CIF file:
```
data_Pu5HPt3
_cell_length_a 7.6311
_cell_length_b 7.6311
_cell_length_c 8.5273
_cell_angle_alpha 116.58
_cell_angle_beta 116.58
_cell_angle_gamma 90.00
_symmetry_space_group_name_H-M 'P 1'
_symmetry_Int_Tables_number 1
loop_
_symmetry_equiv_pos_as_xyz
'x,y,z'
loop_
_atom_site_label
_atom_site_fract_x
_atom_site_fract_y
_atom_site_fract_z
Pu1 0.5000 0.5000 0.0000
Pu2 0.0000 0.0000 0.0000
Pu3 0.1798 0.0194 0.6992
Pu4 0.5194 0.6798 0.6992
Pu5 0.6798 0.1798 0.6992
Pu6 0.0194 0.5194 0.6992
Pu7 0.8202 0.9806 0.3008
Pu8 0.4806 0.3202 0.3008
Pu9 0.3202 0.8202 0.3008
Pu10 0.9806 0.4806 0.3008
H1 0.2500 0.7500 0.5000
H2 0.7500 0.2500 0.5000
Pt1 0.2500 0.2500 0.5000
Pt2 0.7500 0.7500 0.5000
Pt3 0.1290 0.3710 0.0000
Pt4 0.8710 0.6290 0.0000
Pt5 0.6290 0.1290 0.0000
Pt6 0.3710 0.8710 0.0000
```